# 1
Here is PAuBr2 after structural relaxation from Alexandria. Energies are from GGA-PBE.

abc: 3.924 3.924 7.887
angles: 90.00 90.00 123.95
Fractional positions:
P: 0.000 0.000 0.000
Au: 0.000 0.000 0.500
Br: 0.500 0.500 0.243
Br: 0.500 0.500 0.757

Calculated values
Total magnetization: 0.0000 μB/atom
E above lowest polymorph: 0.695 eV/atom

# 2
Here is PAuBr2 after structural relaxation from Alexandria. Energies are from GGA-PBE.

abc: 7.941 7.941 7.941
angles: 155.55 148.56 40.22
Fractional positions:
P: 0.000 0.000 0.000
Au: 0.500 0.500 0.000
Br: 0.145 0.645 0.500
Br: 0.855 0.355 0.500

Calculated values
Total magnetization: 0.0000 μB/atom
E above lowest polymorph: 0.455 eV/atom

# 3
Here is PAuBr2 after structural relaxation from Alexandria. Energies are from GGA-PBE.

abc: 4.488 4.488 7.303
angles: 102.11 102.11 47.14
Fractional positions:
P: 0.000 0.000 0.000
Au: 0.500 0.500 0.500
Br: 0.167 0.167 0.753
Br: 0.833 0.833 0.247

Calculated values
Total magnetization: 0.0000 μB/atom
E above lowest polymorph: 0.677 eV/atom

# 4
Here is P3AuBr after structural relaxation from Alexandria. Energies are from GGA-PBE.

abc: 4.934 4.934 4.934
angles: 90.00 90.00 90.00
Fractional positions:
P: 0.000 0.000 0.500
P: 0.000 0.500 0.000
P: 0.500 0.000 0.000
Au: 0.000 0.000 0.000
Br: 0.500 0.500 0.500

Calculated values
Total magnetization: 0.6160 μB/atom
E above lowest polymorph: 0.000 eV/atom

# 5
Here is PAuBr after structural relaxation from Alexandria. Energies are from GGA-PBE.

abc: 7.901 7.901 7.901
angles: 156.64 156.64 33.28
Fractional positions:
P: 0.000 0.000 0.000
Au: 0.432 0.432 0.000
Br: 0.719 0.719 0.000

Calculated values
Total magnetization: 0.0000 μB/atom
E above lowest polymorph: 0.383 eV/atom

# 6
Here is PAuBr2 after structural relaxation from Alexandria. Energies are from GGA-PBE.

abc: 4.936 4.936 4.936
angles: 60.00 60.00 60.00
Fractional positions:
P: 0.000 0.000 0.000
Au: 0.250 0.250 0.250
Br: 0.500 0.500 0.500
Br: 0.750 0.750 0.750

Calculated values
Total magnetization: 0.0000 μB/atom
E above lowest polymorph: 0.972 eV/atom

# 7
Here is PAuBr2 after structural relaxation from Alexandria. Energies are from GGA-PBE.

abc: 8.888 8.888 8.888
angles: 146.47 146.47 48.15
Fractional positions:
P: 0.000 0.000 0.000
P: 0.750 0.250 0.500
Au: 0.250 0.750 0.500
Au: 0.500 0.500 0.000
Br: 0.102 0.625 0.977
Br: 0.375 0.352 0.477
Br: 0.648 0.125 0.023
Br: 0.875 0.898 0.523

Calculated values
Total magnetization: 0.0000 μB/atom
E above lowest polymorph: 0.726 eV/atom

# 8
Here is PAuBr2 after structural relaxation from Alexandria. Energies are from GGA-PBE.

abc: 3.307 3.842 7.700
angles: 90.00 92.33 90.00
Fractional positions:
P: 0.000 0.000 0.000
Au: 0.000 0.000 0.500
Br: 0.015 0.500 0.235
Br: 0.985 0.500 0.765

Calculated values
Total magnetization: 0.0000 μB/atom
E above lowest polymorph: 0.593 eV/atom

# 9
Here is PAu4Br after structural relaxation from Alexandria. Energies are from GGA-PBE.

abc: 5.590 5.590 5.590
angles: 60.00 60.00 60.00
Fractional positions:
P: 0.000 0.000 0.000
Au: 0.124 0.625 0.625
Au: 0.625 0.124 0.625
Au: 0.625 0.625 0.124
Au: 0.625 0.625 0.625
Br: 0.250 0.250 0.250

Calculated values
Total magnetization: 0.2066 μB/atom

# 10
Here is PAuBr2 after structural relaxation from Alexandria. Energies are from GGA-PBE.

abc: 4.953 4.953 4.953
angles: 60.00 60.00 60.00
Fractional positions:
P: 0.000 0.000 0.000
Au: 0.500 0.500 0.500
Br: 0.250 0.250 0.250
Br: 0.750 0.750 0.750

Calculated values
Total magnetization: 0.0000 μB/atom
E above lowest polymorph: 0.978 eV/atom

# 11
Here is PAuBr2 after structural relaxation from Alexandria. Energies are from GGA-PBE.

abc: 6.449 6.449 6.449
angles: 148.55 98.43 90.02
Fractional positions:
P: 0.000 0.000 0.000
Au: 0.824 0.324 0.500
Br: 0.223 0.723 0.500
Br: 0.612 0.612 0.000

Calculated values
Total magnetization: 0.3108 μB/atom
E above lowest polymorph: 0.351 eV/atom

# 12
Here is PAuBr2 after structural relaxation from Alexandria. Energies are from GGA-PBE.

abc: 5.429 5.429 3.330
angles: 90.22 90.22 90.14
Fractional positions:
P: 0.000 0.000 0.000
Au: 0.500 0.500 0.000
Br: 0.000 0.500 0.000
Br: 0.500 0.000 0.000

Calculated values
Total magnetization: 0.0000 μB/atom
E above lowest polymorph: 0.618 eV/atom

Let's list raw formation energy in order: 2.2; 1.2; 2.1; 6.0; 1.3; 3.3; 2.3; 1.8; 3.3; 3.3; 0.8; 1.9 eV/f.u..